# NiBi2RhO6 | Alexandria via LeMat-Bulk | PBE+U | relaxed
data_NiBi2RhO6
_space_group_name_H-M_alt 'P 1 21/c 1'
_space_group_IT_number 14
_space_group_name_Hall '-P 2ybc'
_cell_length_a 5.466
_cell_length_b 5.806
_cell_length_c 9.512
_cell_angle_alpha 90.00
_cell_angle_beta 125.01
_cell_angle_gamma 90.00
loop_
_atom_site_label
_atom_site_fract_x
_atom_site_fract_y
_atom_site_fract_z
_atom_site_occupancy
Ni1 0.000 0.000 0.000 1
Bi1 0.244 0.061 0.757 1
Rh1 0.500 0.000 0.500 1
O1 0.139 0.193 0.443 1
O2 0.282 0.692 0.458 1
O3 0.363 0.041 0.252 1
# Volume, Å³ per cell: 247.25
# Crystal system: monoclinic
# ρ, Mg/m³: 9.1
# Total energy, eV/atom: -5.7738